Here is a geometry-optimized PmErBeGa structure from Alexandria via LeMat-Bulk. Energies are from PBE-GGA.

Results
Calculated density (g/cm³): 7.37
Formation energy (eV per atom): -0.21

Lattice parameters (Å, degrees): 7.063 7.063 7.063 90.00 90.00 90.00
Space group F-43m (No. 216)
Asymmetric unit:
Pm 0.000 0.000 0.000 (multiplicity 4)
Er 0.000 0.000 0.500 (multiplicity 4)
Be 0.250 0.250 0.250 (multiplicity 4)
Ga 0.250 0.250 0.750 (multiplicity 4)